## Sr2SmZnSe5 (PBE-GGA)

Data for a relaxed Sr2SmZnSe5 crystal.

a b c (Å): 4.185 9.548 12.757
angles (deg): 90.00 90.00 102.66
Fractional coordinates of all 18 atoms:
Sr (0.879, 0.757, 0.828)
Sr (0.115, 0.231, 0.688)
Sr (0.121, 0.243, 0.328)
Sr (0.885, 0.769, 0.188)
Sm (0.796, 0.592, 0.521)
Sm (0.204, 0.408, 0.021)
Zn (0.558, 0.116, 0.935)
Zn (0.442, 0.884, 0.435)
Se (0.357, 0.713, 0.010)
Se (0.687, 0.374, 0.861)
Se (0.497, 0.995, 0.766)
Se (0.298, 0.596, 0.678)
Se (0.958, 0.916, 0.537)
Se (0.643, 0.287, 0.510)
Se (0.313, 0.626, 0.361)
Se (0.503, 0.005, 0.266)
Se (0.702, 0.404, 0.178)
Se (0.042, 0.084, 0.037)

- ΔE_f (raw): -1.511 eV per atom
- Total moment: 0.00 Bohr magnetons per cell
- Raw total energy: -80.749 eV for the cell shown
- ρ: 5.25 g cm⁻³
- Volume: 497.38 Å³ per cell
- SG: Cmc2_1

---

## NaSb2Cl (PBE-GGA)

Data for a relaxed NaSb2Cl crystal.

a b c (Å): 5.265 5.265 5.265
angles (deg): 60.00 60.00 60.00
Fractional coordinates of all 4 atoms:
Sb (0.250, 0.250, 0.250)
Sb (0.750, 0.750, 0.750)
Na (0.000, 0.000, 0.000)
Cl (0.500, 0.500, 0.500)

- ΔE_f (raw): 0.097 eV per atom
- Total moment: 0.00 Bohr magnetons per cell
- Excess energy over the best structure of this formula in the dataset: 14.58 kcal/mol of atoms
- Raw total energy: -11.024 eV for the cell shown
- ρ: 4.86 g cm⁻³
- Volume: 103.23 Å³ per cell
- SG: Fm-3m

---

Which of these has the lowest ΔE_f (raw)? Sr2SmZnSe5